Entry 1:
A relaxed structure of TlC, computed with PBE-GGA.

Values from the calculation:
Uncorrected energy = -29.67 eV per cell

a b c (Å): 6.282 6.282 6.282
angles (deg): 109.47 109.47 109.47
Positions (direct):
Tl: 0.000 0.000 0.343
Tl: 0.000 0.343 0.000
Tl: 0.343 0.000 0.000
Tl: 0.657 0.657 0.657
C: 0.000 0.000 0.690
C: 0.000 0.690 0.000
C: 0.310 0.310 0.310
C: 0.690 0.000 0.000

***

Entry 2:
A relaxed structure of BeSOF2, computed with PBE-GGA.

Values from the calculation:
ΔE_f (raw) = -0.069 eV per atom

a b c (Å): 4.450 4.450 3.428
angles (deg): 90.00 90.00 90.00
Positions (direct):
Be: 0.000 0.000 0.000
S: 0.500 0.500 0.500
O: 0.500 0.500 0.000
F: 0.000 0.500 0.500
F: 0.500 0.000 0.500

***

Entry 3:
A relaxed structure of InPtRh2W, computed with PBE-GGA.

Values from the calculation:
Uncorrected energy = -30.00 eV per cell

a b c (Å): 4.629 4.629 5.208
angles (deg): 90.00 90.00 90.00
Positions (direct):
In: 0.000 0.000 0.000
Pt: 0.500 0.500 0.000
Rh: 0.000 0.500 0.500
Rh: 0.500 0.000 0.500
W: 0.000 0.000 0.500

***

Entry 4:
A relaxed structure of ZrTc3Cl, computed with PBE-GGA.

Values from the calculation:
ΔE_f (raw) = 2.097 eV per atom

a b c (Å): 5.044 5.044 5.044
angles (deg): 90.00 90.00 90.00
Positions (direct):
Zr: 0.000 0.000 0.000
Tc: 0.000 0.000 0.500
Tc: 0.000 0.500 0.000
Tc: 0.500 0.000 0.000
Cl: 0.500 0.500 0.500

***

Entry 5:
A relaxed structure of Ti2S2Br, computed with PBE-GGA.

Values from the calculation:
ΔE_f (raw) = -0.675 eV per atom

a b c (Å): 7.569 7.569 3.119
angles (deg): 90.00 90.00 90.00
Positions (direct):
Ti: 0.133 0.367 0.000
Ti: 0.367 0.867 0.000
Ti: 0.633 0.133 0.000
Ti: 0.867 0.633 0.000
S: 0.129 0.629 0.500
S: 0.371 0.129 0.500
S: 0.629 0.871 0.500
S: 0.871 0.371 0.500
Br: 0.000 0.000 0.500
Br: 0.500 0.500 0.500

***

Entry 6:
A relaxed structure of HgTeMo2, computed with PBE-GGA.

Values from the calculation:
ΔE_f (raw) = 0.783 eV per atom

a b c (Å): 5.453 5.453 5.453
angles (deg): 143.78 126.19 66.59
Positions (direct):
Hg: 0.000 0.000 0.000
Te: 0.500 0.500 0.000
Mo: 0.265 0.765 0.500
Mo: 0.735 0.235 0.500